TmScGaRu: optimized geometry, PBE.

Geometry as CIF:
```
data_TmScGaRu
_chemical_formula_sum 'Tm4 Sc4 Ga4 Ru4'
_symmetry_space_group_name_H-M 'F -4 3 m'
_symmetry_Int_Tables_number 216
_symmetry_space_group_name_Hall 'F -4 2 3'
_cell_length_a 6.725
_cell_length_b 6.725
_cell_length_c 6.725
_cell_angle_alpha 90.00
_cell_angle_beta 90.00
_cell_angle_gamma 90.00
loop_
_atom_site_label
_atom_site_type_symbol
_atom_site_fract_x
_atom_site_fract_y
_atom_site_fract_z
Tm1 Tm 0.000 0.000 0.000
Sc1 Sc 0.000 0.000 0.500
Ga1 Ga 0.250 0.250 0.750
Ru1 Ru 0.250 0.250 0.250
```

Calculated values
M_tot, μB/f.u.: 0.0
Energy of formation, eV per atom: -0.531
Distance to the lowest polymorph of the same formula, kcal/mol of atoms: 1.967
Theoretical density, g/cm³: 8.40
Total energy, eV/cell: -100.92